Model A:
A geometry-optimized RbMnAl2 structure. Source: Alexandria, functional PBE.

Unit cell a=5.1076 b=5.1076 c=5.1076 alpha=60.00 beta=60.00 gamma=60.00
With the nearest neighbours (Å) after each atom.
Fractional coordinates of all 4 atoms:
Rb (0.5000, 0.5000, 0.5000)  8 Al 3.13
Mn (0.0000, 0.0000, 0.0000)  8 Al 3.13
Al (0.2500, 0.2500, 0.2500)  4 Rb 3.13, 4 Mn 3.13
Al (0.7500, 0.7500, 0.7500)  4 Rb 3.13, 4 Mn 3.13

Values from the calculation:
Density of states at the Fermi level ... 2.63 states/eV per cell

---

Model B:
A geometry-optimized RbMnAl2 structure. Source: Alexandria, functional PBE.

Unit cell a=5.5001 b=5.5001 c=9.4717 alpha=73.12 beta=73.12 gamma=90.00
With the nearest neighbours (Å) after each atom.
Fractional coordinates of all 8 atoms:
Al (0.3750, 0.6250, 0.7500)  2 Mn 2.56, 2 Al 2.75
Al (0.8750, 0.6250, 0.7500)  2 Mn 2.56, 2 Al 2.75
Al (0.3750, 0.1250, 0.2500)  2 Mn 2.56, 2 Al 2.75
Al (0.3750, 0.6250, 0.2500)  2 Mn 2.56, 2 Al 2.75
Rb (0.7500, 0.2500, 0.5000)  8 Al 3.76, 4 Mn 3.89
Rb (0.0000, 0.0000, 0.0000)  8 Al 3.76, 4 Mn 3.89
Mn (0.2500, 0.7500, 0.5000)  4 Al 2.56
Mn (0.5000, 0.5000, 0.0000)  4 Al 2.56

Values from the calculation:
Density of states at the Fermi level ... 9.52 states/eV per cell

---

Result of the stability comparison: model B is the most stable of them.

---

Model A:
A geometry-optimized RbZrMnAl2 structure. Source: Alexandria, functional PBE.

Unit cell a=5.1257 b=4.4402 c=5.1257 alpha=90.00 beta=90.00 gamma=90.00
With the nearest neighbours (Å) after each atom.
Fractional coordinates of all 5 atoms:
Rb (0.0000, 0.0000, 0.0000)  2 Mn 2.22
Al (0.0000, 0.0000, 0.5000)  2 Rb 2.56
Al (0.5000, 0.0000, 0.0000)  2 Rb 2.56
Mn (0.0000, 0.5000, 0.0000)  2 Rb 2.22
Zr (0.5000, 0.5000, 0.5000)  8 Al 3.39, 4 Mn 3.62

Values from the calculation:
Density of states at the Fermi level ... 5.32 states/eV per cell

---

Model B:
A geometry-optimized RbZrMnAl2 structure. Source: Alexandria, functional PBE.

Unit cell a=4.7504 b=4.9923 c=4.7504 alpha=90.00 beta=90.00 gamma=90.00
With the nearest neighbours (Å) after each atom.
Fractional coordinates of all 5 atoms:
Zr (0.5000, 0.5000, 0.5000)  4 Rb 3.36, 8 Al 3.45
Al (0.5000, 0.0000, 0.0000)  2 Mn 2.38
Al (0.0000, 0.0000, 0.5000)  2 Mn 2.38
Mn (0.0000, 0.0000, 0.0000)  4 Al 2.38, 2 Rb 2.50
Rb (0.0000, 0.5000, 0.0000)  2 Mn 2.50

Values from the calculation:
Density of states at the Fermi level ... 5.75 states/eV per cell

---

Result of the stability comparison: model B is the most stable of them.

---

Model A:
A geometry-optimized MnAl2Re structure. Source: Alexandria, functional PBE.

Unit cell a=4.4236 b=2.7266 c=4.6734 alpha=90.04 beta=90.00 gamma=90.00
With the nearest neighbours (Å) after each atom.
Fractional coordinates of all 4 atoms:
Mn (0.0000, 0.6257, 0.4569)  2 Re 2.70, 8 Al 2.70-2.71, 2 Mn 2.73
Al (0.5000, 0.1248, 0.2985)  4 Re 2.66-2.75, 4 Mn 2.70, 4 Al 2.73
Al (0.0000, 0.1251, 0.9563)  4 Mn 2.70-2.71, 4 Re 2.71, 4 Al 2.73
Re (0.5000, 0.6244, 0.7883)  8 Al 2.66-2.75, 2 Mn 2.70, 2 Re 2.73

Values from the calculation:
Density of states at the Fermi level ... 2.95 states/eV per cell

---

Model B:
A geometry-optimized MnAl2Re structure. Source: Alexandria, functional PBE.

Unit cell a=3.0014 b=3.0014 c=5.9516 alpha=90.00 beta=90.00 gamma=90.00
With the nearest neighbours (Å) after each atom.
Fractional coordinates of all 4 atoms:
Al (0.5000, 0.5000, 0.2729)  4 Mn 2.48, 4 Al 2.69
Al (0.0000, 0.0000, 0.9956)  4 Re 2.60, 4 Al 2.69
Mn (0.0000, 0.0000, 0.4884)  4 Al 2.48, 4 Re 2.61
Re (0.5000, 0.5000, 0.7431)  5 Al 2.60-2.80, 4 Mn 2.61

Values from the calculation:
Density of states at the Fermi level ... 0.76 states/eV per cell

---

Model C:
A geometry-optimized MnAl2Re structure. Source: Alexandria, functional PBE.

Unit cell a=4.9726 b=4.9726 c=4.9726 alpha=142.87 beta=130.72 gamma=63.28
With the nearest neighbours (Å) after each atom.
Fractional coordinates of all 4 atoms:
Al (0.0062, 0.0062, 0.0000)  4 Mn 2.61, 2 Re 2.67, 4 Al 2.76-2.86
Al (0.7387, 0.2387, 0.5000)  2 Mn 2.60, 4 Re 2.62, 4 Al 2.76-2.86
Mn (0.4945, 0.4945, 0.0000)  2 Re 2.54, 6 Al 2.60-2.61
Re (0.2606, 0.7606, 0.5000)  2 Mn 2.54, 6 Al 2.62-2.67

Values from the calculation:
Density of states at the Fermi level ... 2.41 states/eV per cell

---

Result of the stability comparison: model B is the most stable of them.

---

Model A:
A geometry-optimized Mn2Al2Re structure. Source: Alexandria, functional PBE.

Unit cell a=5.9936 b=5.9936 c=3.9187 alpha=90.00 beta=90.00 gamma=90.00
With the nearest neighbours (Å) after each atom.
Fractional coordinates of all 10 atoms:
Al (0.8237, 0.3237, 0.5000)  6 Mn 2.58-2.68
Al (0.6763, 0.8237, 0.5000)  6 Mn 2.58-2.68
Al (0.1763, 0.6763, 0.5000)  6 Mn 2.58-2.68
Al (0.3237, 0.1763, 0.5000)  6 Mn 2.58-2.68
Re (0.0000, 0.0000, 0.0000)  4 Mn 2.37
Re (0.5000, 0.5000, 0.0000)  4 Mn 2.37
Mn (0.8748, 0.6252, 0.0000)  1 Mn 2.12, 2 Re 2.37
Mn (0.3748, 0.8748, 0.0000)  1 Mn 2.12, 2 Re 2.37
Mn (0.1252, 0.3748, 0.0000)  1 Mn 2.12, 2 Re 2.37
Mn (0.6252, 0.1252, 0.0000)  1 Mn 2.12, 2 Re 2.37

Values from the calculation:
Density of states at the Fermi level ... 5.73 states/eV per cell

---

Model B:
A geometry-optimized Mn2Al2Re structure. Source: Alexandria, functional PBE.

Unit cell a=2.9294 b=2.8355 c=8.5675 alpha=80.47 beta=90.00 gamma=90.00
With the nearest neighbours (Å) after each atom.
Fractional coordinates of all 5 atoms:
Mn (0.5000, 0.4115, 0.1769)  4 Re 2.53, 4 Al 2.53
Mn (0.5000, 0.5885, 0.8231)  4 Re 2.53, 4 Al 2.53
Re (0.0000, 0.0000, 0.0000)  8 Mn 2.53
Al (0.0000, 0.1770, 0.6461)  4 Mn 2.53
Al (0.0000, 0.8230, 0.3539)  4 Mn 2.53

Values from the calculation:
Density of states at the Fermi level ... 4.82 states/eV per cell

---

Result of the stability comparison: model B is the most stable of them.

---

Model A:
A geometry-optimized MnAlRh3 structure. Source: Alexandria, functional PBE.

Unit cell a=4.3825 b=4.3825 c=4.3825 alpha=90.00 beta=90.00 gamma=90.00
With the nearest neighbours (Å) after each atom.
Fractional coordinates of all 5 atoms:
Rh (0.0000, 0.5000, 0.0000)  2 Al 2.19
Rh (0.5000, 0.0000, 0.0000)  2 Al 2.19
Rh (0.0000, 0.0000, 0.5000)  2 Al 2.19
Al (0.0000, 0.0000, 0.0000)  6 Rh 2.19
Mn (0.5000, 0.5000, 0.5000)  12 Rh 3.10

Values from the calculation:
Density of states at the Fermi level ... 8.79 states/eV per cell

---

Model B:
A geometry-optimized MnAlRh3 structure. Source: Alexandria, functional PBE.

Unit cell a=4.4234 b=4.4234 c=4.4234 alpha=90.00 beta=90.00 gamma=90.00
With the nearest neighbours (Å) after each atom.
Fractional coordinates of all 5 atoms:
Al (0.5000, 0.5000, 0.5000)  12 Rh 3.13
Rh (0.0000, 0.0000, 0.5000)  2 Mn 2.21
Rh (0.0000, 0.5000, 0.0000)  2 Mn 2.21
Rh (0.5000, 0.0000, 0.0000)  2 Mn 2.21
Mn (0.0000, 0.0000, 0.0000)  6 Rh 2.21

Values from the calculation:
Density of states at the Fermi level ... 4.83 states/eV per cell

---

Result of the stability comparison: model B is the most stable of them.